1.
{"formula": "Ba2In9Pt3", "functional": "PBE", "state": "optimized geometry", "lattice": [[7.420, -4.255, 0.000], [7.420, 4.255, 0.000], [-4.992, 0.000, 10.698]], "species": ["Ba", "Ba", "Ba", "Ba", "In", "In", "In", "In", "In", "In", "In", "In", "In", "In", "In", "In", "In", "In", "In", "In", "In", "In", "Pt", "Pt", "Pt", "Pt", "Pt", "Pt"], "frac_coords": [[0.085, 0.252, 0.250], [0.252, 0.085, 0.750], [0.748, 0.915, 0.250], [0.915, 0.748, 0.750], [0.019, 0.863, 0.074], [0.137, 0.981, 0.426], [0.188, 0.359, 0.574], [0.209, 0.581, 0.252], [0.310, 0.483, 0.946], [0.359, 0.188, 0.074], [0.369, 0.631, 0.750], [0.419, 0.791, 0.248], [0.483, 0.310, 0.446], [0.517, 0.690, 0.554], [0.581, 0.209, 0.752], [0.631, 0.369, 0.250], [0.641, 0.812, 0.926], [0.690, 0.517, 0.054], [0.791, 0.419, 0.748], [0.812, 0.641, 0.426], [0.863, 0.019, 0.574], [0.981, 0.137, 0.926], [0.000, 0.500, 0.000], [0.167, 0.667, 0.499], [0.333, 0.833, 0.001], [0.500, 0.000, 0.500], [0.667, 0.167, 0.999], [0.833, 0.333, 0.501]], "spacegroup": "No. 15", "delta_e_f_mev_per_atom": -466}

=====

2.
{"formula": "Ba3In4Pt4", "functional": "PBE", "state": "optimized geometry", "lattice": [[-2.231, 4.145, 7.749], [2.231, -4.145, 7.749], [2.231, 4.145, -7.749]], "species": ["Ba", "Ba", "Ba", "In", "In", "In", "In", "Pt", "Pt", "Pt", "Pt"], "frac_coords": [[0.000, 0.000, 0.000], [0.386, 0.886, 0.500], [0.614, 0.114, 0.500], [0.018, 0.324, 0.694], [0.370, 0.676, 0.694], [0.630, 0.324, 0.306], [0.982, 0.676, 0.306], [0.222, 0.222, 0.000], [0.280, 0.500, 0.780], [0.720, 0.500, 0.220], [0.778, 0.778, 0.000]], "spacegroup": "No. 71", "delta_e_f_mev_per_atom": -698}

=====

3.
{"formula": "Ba2InPt2", "functional": "PBE", "state": "optimized geometry", "lattice": [[7.939, 0.000, 0.000], [0.000, 7.939, 0.000], [0.000, 0.000, 4.603]], "species": ["Ba", "Ba", "Ba", "Ba", "In", "In", "Pt", "Pt", "Pt", "Pt"], "frac_coords": [[0.174, 0.326, 0.000], [0.326, 0.826, 0.000], [0.674, 0.174, 0.000], [0.826, 0.674, 0.000], [0.000, 0.000, 0.500], [0.500, 0.500, 0.500], [0.127, 0.627, 0.500], [0.373, 0.127, 0.500], [0.627, 0.873, 0.500], [0.873, 0.373, 0.500]], "spacegroup": "No. 127", "delta_e_f_mev_per_atom": -634}

=====

4.
{"formula": "Ba2In2Pt", "functional": "PBE", "state": "optimized geometry", "lattice": [[7.490, 0.000, 0.000], [0.000, 7.490, 0.000], [0.000, 0.000, 5.598]], "species": ["Ba", "Ba", "Ba", "Ba", "In", "In", "In", "In", "Pt", "Pt"], "frac_coords": [[0.173, 0.327, 0.000], [0.327, 0.827, 0.000], [0.673, 0.173, 0.000], [0.827, 0.673, 0.000], [0.144, 0.644, 0.500], [0.356, 0.144, 0.500], [0.644, 0.856, 0.500], [0.856, 0.356, 0.500], [0.000, 0.000, 0.500], [0.500, 0.500, 0.500]], "spacegroup": "No. 127", "e_above_lowest_polymorph_kj_per_mol_atoms": 22.59, "delta_e_f_mev_per_atom": -334}

=====

5.
{"formula": "BaIn8Pt2", "functional": "PBE", "state": "optimized geometry", "lattice": [[6.389, 0.000, 0.000], [0.000, 6.389, 0.000], [0.000, 0.000, 9.133]], "species": ["Ba", "In", "In", "In", "In", "In", "In", "In", "In", "Pt", "Pt"], "frac_coords": [[0.000, 0.000, 0.000], [0.252, 0.252, 0.317], [0.252, 0.252, 0.683], [0.252, 0.748, 0.317], [0.252, 0.748, 0.683], [0.748, 0.252, 0.317], [0.748, 0.252, 0.683], [0.748, 0.748, 0.317], [0.748, 0.748, 0.683], [0.000, 0.500, 0.500], [0.500, 0.000, 0.500]], "spacegroup": "No. 123", "delta_e_f_mev_per_atom": -167}

=====

6.
{"formula": "Ba3In7Pt4", "functional": "PBE", "state": "optimized geometry", "lattice": [[8.788, -2.348, 0.000], [8.788, 2.348, 0.000], [-5.684, 0.000, 8.733]], "species": ["Ba", "Ba", "Ba", "In", "In", "In", "In", "In", "In", "In", "Pt", "Pt", "Pt", "Pt"], "frac_coords": [[0.000, 0.000, 0.000], [0.309, 0.309, 0.299], [0.691, 0.691, 0.701], [0.000, 0.000, 0.500], [0.162, 0.162, 0.430], [0.320, 0.320, 0.971], [0.496, 0.496, 0.713], [0.504, 0.504, 0.287], [0.680, 0.680, 0.029], [0.838, 0.838, 0.570], [0.120, 0.120, 0.847], [0.340, 0.340, 0.717], [0.660, 0.660, 0.283], [0.880, 0.880, 0.153]], "spacegroup": "No. 12", "delta_e_f_mev_per_atom": -596}